LaMn2Cl: relaxed, PBEsol.

The structure in extended XYZ format:
```
4
Lattice="-0.929 1.899 -2.532 -3.054 -3.120 -1.206 -3.711 2.408 3.168" Properties=species:S:1:pos:R:3 pbc="T T T"
Cl -1.856 1.204 1.584
Mn -1.343 -0.597 -1.120
Mn -2.641 -0.624 -2.618
La -3.847 0.593 -0.285
```

Output
Volume   81.31 Å³/f.u.
Energy above the most stable polymorph in this dataset   35.5 kJ per mole of atoms
Formation energy without anion corrections   253 meV per atom
N(E_F)   5.12 states/eV/f.u.
Symmetry   P2/m, No. 10

LaMn2SnCl: relaxed, PBEsol.

The structure in extended XYZ format:
```
5
Lattice="-3.464 0.042 2.956 -1.577 -3.879 -1.792 2.918 -2.785 3.459" Properties=species:S:1:pos:R:3 pbc="T T T"
Cl 0.000 0.000 0.000
Mn -0.788 -1.939 -0.896
Mn -1.732 0.021 1.478
Sn -1.061 -3.311 2.311
La 1.459 -1.392 1.729
```

Output
Volume   110.21 Å³/f.u.
Formation energy without anion corrections   149 meV per atom
N(E_F)   3.81 states/eV/f.u.
Symmetry   P4/mmm, No. 123

LaMo2Cl: relaxed, PBEsol.

The structure in extended XYZ format:
```
4
Lattice="-0.693 0.030 3.203 -4.056 -1.053 -0.900 3.704 -4.900 -0.813" Properties=species:S:1:pos:R:3 pbc="T T T"
Mo 1.852 -2.450 -0.407
Mo -0.522 -2.962 0.745
Cl -2.375 -0.512 1.152
La 0.000 0.000 0.000
```

Output
Volume   78.42 Å³/f.u.
Energy above the most stable polymorph in this dataset   0.0 kJ per mole of atoms
Formation energy without anion corrections   228 meV per atom
N(E_F)   4.13 states/eV/f.u.
Symmetry   C2/m, No. 12